No. 1
Computed, not measured: a PBEsol-optimized structure of Cs2BaCaGe at the SCAN level of DFT.

Values from the calculation:
E_form, meV/atom: 264
Magnetic moment, μB per formula unit: 0.743
Density of states at the Fermi level, states/eV per cell: 5.42
SG: P4/mmm

a b c (Å): 6.2251 7.1667 7.1667
angles (deg): 90.00 90.00 90.00
With the nearest neighbours (Å) after each atom.
Fractional coordinates of all 5 atoms:
Cs 0.0000 0.0000 0.5000  2 Ge 3.58
Cs 0.0000 0.5000 0.0000  2 Ge 3.58
Ca 0.5000 0.5000 0.5000  8 Cs 4.75, 4 Ba 5.07
Ge 0.0000 0.0000 0.0000  2 Ba 3.11
Ba 0.5000 0.0000 0.0000  2 Ge 3.11

No. 2
Computed, not measured: a PBEsol-optimized structure of BaCa3Cu at the SCAN level of DFT.

Values from the calculation:
E_form, meV/atom: 1397
Magnetic moment, μB per formula unit: 0.000
Density of states at the Fermi level, states/eV per cell: 4.01
SG: Pm-3m

a b c (Å): 5.6495 5.6495 5.6495
angles (deg): 90.00 90.00 90.00
With the nearest neighbours (Å) after each atom.
Fractional coordinates of all 5 atoms:
Ca 0.0000 0.5000 0.0000  2 Ba 2.82
Ca 0.5000 0.0000 0.0000  2 Ba 2.82
Ba 0.0000 0.0000 0.0000  6 Ca 2.82
Cu 0.5000 0.5000 0.5000  12 Ca 3.99
Ca 0.0000 0.0000 0.5000  2 Ba 2.82

No. 3
Computed, not measured: a PBEsol-optimized structure of BaCa3Cu at the SCAN level of DFT.

Values from the calculation:
E_form, meV/atom: -15
Magnetic moment, μB per formula unit: 0.266
Density of states at the Fermi level, states/eV per cell: 4.39
SG: Pm-3m

a b c (Å): 5.7340 5.7340 5.7340
angles (deg): 90.00 90.00 90.00
With the nearest neighbours (Å) after each atom.
Fractional coordinates of all 5 atoms:
Ca 0.0000 0.0000 0.5000  2 Cu 2.87
Ca 0.0000 0.5000 0.0000  2 Cu 2.87
Ba 0.5000 0.5000 0.5000  12 Ca 4.05
Cu 0.0000 0.0000 0.0000  6 Ca 2.87
Ca 0.5000 0.0000 0.0000  2 Cu 2.87

No. 4
Computed, not measured: a PBEsol-optimized structure of BaCaCu at the SCAN level of DFT.

Values from the calculation:
E_form, meV/atom: 98
Magnetic moment, μB per formula unit: 0.000
Density of states at the Fermi level, states/eV per cell: 3.48
SG: P3m1

a b c (Å): 4.3143 4.3143 6.9443
angles (deg): 90.00 90.00 120.00
With the nearest neighbours (Å) after each atom.
Fractional coordinates of all 3 atoms:
Ba 0.0000 0.0000 0.0804  3 Cu 3.13
Ca 0.3333 0.6667 0.5655  3 Cu 2.89
Cu 0.6667 0.3333 0.3541  3 Ca 2.89, 3 Ba 3.13

No. 5
Computed, not measured: a PBEsol-optimized structure of BaCa2Cu at the SCAN level of DFT.

Values from the calculation:
E_form, meV/atom: 314
Magnetic moment, μB per formula unit: 0.000
Density of states at the Fermi level, states/eV per cell: 5.46
SG: F-43m

a b c (Å): 5.6917 5.6917 5.6917
angles (deg): 60.00 60.00 60.00
With the nearest neighbours (Å) after each atom.
Fractional coordinates of all 4 atoms:
Cu 0.2500 0.2500 0.2500  4 Ba 3.49, 4 Ca 3.49
Ca 0.0000 0.0000 0.0000  4 Cu 3.49, 4 Ca 3.49
Ba 0.5000 0.5000 0.5000  4 Ca 3.49, 4 Cu 3.49
Ca 0.7500 0.7500 0.7500  4 Ba 3.49, 4 Ca 3.49

No. 6
Computed, not measured: a PBEsol-optimized structure of Ba2CaCu3F14 at the SCAN level of DFT.

Values from the calculation:
Magnetic moment, μB per formula unit: 5.000
Density of states at the Fermi level, states/eV per cell: 5.31
SG: C2/c
Energy relative to the elements, uncorrected, eV per formula unit: -57.69

a b c (Å): 5.2766 7.2533 14.5907
angles (deg): 91.78 90.00 111.33
With the nearest neighbours (Å) after each atom.
Fractional coordinates of all 40 atoms:
Cu 0.5000 0.0000 0.0000  6 F 1.88-2.05
F 0.5706 0.7410 0.2025  1 Cu 1.92
Cu 0.8956 0.7667 0.6234  6 F 1.87-1.96
F 0.5000 0.1189 0.6162  1 Cu 1.88
F 0.7010 0.5030 0.0793  1 Cu 1.88
F 0.1704 0.7410 0.7025  1 Cu 1.92
Ca 0.5742 0.0000 0.7500  8 F 2.25-2.48
Cu 0.1289 0.2333 0.8766  6 F 1.87-1.96
Ca 0.4258 0.0000 0.2500  8 F 2.25-2.48
F 0.8814 0.1621 0.4847  2 Cu 1.94
F 0.2990 0.4970 0.9207  1 Cu 1.88
F 0.4294 0.2590 0.7975  1 Cu 1.92
Cu 0.1044 0.2333 0.3766  6 F 1.87-1.96
Ba 0.1515 0.3937 0.1186  10 F 2.63-2.92
Ba 0.2422 0.3937 0.6186  10 F 2.63-2.92
F 0.8020 0.5030 0.5793  1 Cu 1.88
F 0.9513 0.0280 0.6601  1 Cu 1.87
F 0.1186 0.8379 0.5153  2 Cu 1.94
F 0.3811 0.8811 0.8838  1 Cu 1.88
F 0.1761 0.7675 0.0469  2 Cu 1.96-2.05
F 0.2808 0.1621 0.9847  2 Cu 1.94
F 0.8296 0.2590 0.2975  1 Cu 1.92
F 0.0487 0.9720 0.3399  1 Cu 1.87
Cu 0.5000 0.0000 0.5000  6 F 1.88-2.05
F 0.0442 0.6789 0.2221  1 Cu 1.95
F 0.6189 0.1189 0.1162  1 Cu 1.88
F 0.9234 0.9720 0.8399  1 Cu 1.87
F 0.5000 0.8811 0.3838  1 Cu 1.88
Ba 0.7578 0.6063 0.3814  10 F 2.63-2.92
F 0.4087 0.2325 0.4531  2 Cu 1.96-2.05
Ba 0.8485 0.6063 0.8814  10 F 2.63-2.92
F 0.5913 0.7675 0.5469  2 Cu 1.96-2.05
F 0.1980 0.4970 0.4207  1 Cu 1.88
F 0.0766 0.0280 0.1601  1 Cu 1.87
F 0.9558 0.3211 0.7779  1 Cu 1.95
F 0.8239 0.2325 0.9531  2 Cu 1.96-2.05
F 0.3653 0.3211 0.2779  1 Cu 1.95
F 0.6347 0.6789 0.7221  1 Cu 1.95
F 0.7192 0.8379 0.0153  2 Cu 1.94
Cu 0.8711 0.7667 0.1234  6 F 1.87-1.96

No. 7
Computed, not measured: a PBEsol-optimized structure of BaCaCuF7 at the SCAN level of DFT.

Values from the calculation:
Magnetic moment, μB per formula unit: 1.933
Density of states at the Fermi level, states/eV per cell: 0.00
SG: P2_1/c
Energy relative to the elements, uncorrected, eV per formula unit: -31.90

a b c (Å): 5.4725 9.3327 10.8274
angles (deg): 90.00 90.00 92.12
With the nearest neighbours (Å) after each atom.
Fractional coordinates of all 40 atoms:
Ca 0.2729 0.1388 0.4238  5 F 2.17-2.36
Cu 0.1921 0.3028 0.1547  6 F 1.88-1.93
Ba 0.2675 0.5199 0.6531  8 F 2.57-2.87
F 0.0060 0.7722 0.7120  1 Cu 1.92
F 0.0956 0.6465 0.4456  1 Cu 1.88
F 0.5277 0.7745 0.7669  1 Cu 1.92
F 0.6432 0.1072 0.5195  1 Cu 1.90
Cu 0.8079 0.6972 0.8453  6 F 1.88-1.93
F 0.0060 0.2722 0.7880  1 Cu 1.92
F 0.6103 0.1441 0.9739  1 Ca 2.17
Ba 0.2675 0.0199 0.8469  8 F 2.57-2.87
F 0.0874 0.5908 0.8941  1 Cu 1.93
F 0.3568 0.8928 0.4805  1 Cu 1.90
F 0.0956 0.1465 0.0544  1 Cu 1.88
F 0.9044 0.8535 0.9456  1 Cu 1.88
Ca 0.7271 0.8612 0.5762  5 F 2.17-2.36
F 0.6103 0.6441 0.5261  1 Ca 2.17
F 0.4723 0.7255 0.2669  1 Cu 1.92
F 0.3897 0.8559 0.0261  1 Ca 2.17
Ba 0.7325 0.4801 0.3469  8 F 2.57-2.87
F 0.3568 0.3928 0.0195  1 Cu 1.90
F 0.7254 0.0259 0.7410  1 Cu 1.89
F 0.9940 0.7278 0.2120  1 Cu 1.92
F 0.9044 0.3535 0.5544  1 Cu 1.88
F 0.2746 0.9741 0.2590  1 Cu 1.89
Ca 0.2729 0.6388 0.0762  5 F 2.17-2.36
F 0.7254 0.5259 0.7590  1 Cu 1.89
F 0.3897 0.3559 0.4739  1 Ca 2.17
F 0.9126 0.9092 0.3941  1 Cu 1.93
F 0.0874 0.0908 0.6059  1 Cu 1.93
F 0.6432 0.6072 0.9805  1 Cu 1.90
Ba 0.7325 0.9801 0.1531  8 F 2.57-2.87
F 0.2746 0.4741 0.2410  1 Cu 1.89
Ca 0.7271 0.3612 0.9238  5 F 2.17-2.36
F 0.4723 0.2255 0.2331  1 Cu 1.92
F 0.9940 0.2278 0.2880  1 Cu 1.92
F 0.5277 0.2745 0.7331  1 Cu 1.92
Cu 0.8079 0.1972 0.6547  6 F 1.88-1.93
F 0.9126 0.4092 0.1059  1 Cu 1.93
Cu 0.1921 0.8028 0.3453  6 F 1.88-1.93

No. 8
Computed, not measured: a PBEsol-optimized structure of Ba2Ca2Cu3HgO8 at the SCAN level of DFT.

Values from the calculation:
Magnetic moment, μB per formula unit: 0.000
Density of states at the Fermi level, states/eV per cell: 2.09
SG: P4/mmm
Energy relative to the elements, uncorrected, eV per formula unit: -30.58

a b c (Å): 3.8354 3.8354 15.9241
angles (deg): 90.00 90.00 90.00
With the nearest neighbours (Å) after each atom.
Fractional coordinates of all 16 atoms:
Cu 0.0000 0.0000 0.6914  4 O 1.92
O 0.0000 0.5000 0.5000  2 Cu 1.92
Ba 0.5000 0.5000 0.8166  8 O 2.71-2.87
O 0.5000 0.0000 0.3041  2 Cu 1.92
Ca 0.5000 0.5000 0.5990  8 O 2.46-2.48
O 0.0000 0.0000 0.1248  1 Hg 1.99
O 0.0000 0.5000 0.6959  2 Cu 1.92
O 0.0000 0.0000 0.8752  1 Hg 1.99
Cu 0.0000 0.0000 0.3086  4 O 1.92
Hg 0.0000 0.0000 0.0000  2 O 1.99
Cu 0.0000 0.0000 0.5000  4 O 1.92
O 0.0000 0.5000 0.3041  2 Cu 1.92
Ca 0.5000 0.5000 0.4010  8 O 2.46-2.48
O 0.5000 0.0000 0.5000  2 Cu 1.92
Ba 0.5000 0.5000 0.1834  8 O 2.71-2.87
O 0.5000 0.0000 0.6959  2 Cu 1.92